Record 1
Co5RuPt6 | PBE | relaxed

Computed properties:
- symmetry = Immm
- magnetic moment (μB/cell) = 11.910
- energy of formation from the pure elements (kJ/mol of atoms) = -5
- DFT total energy (hartree per atom) = -0.2500
- DOS(E_F) (states/eV/f.u.) = 16.7

a = 3.813 Å, b = 7.122 Å, c = 7.122 Å
α = 106.99°, β = 105.53°, γ = 105.53°
Fractional coordinates of all 12 atoms:
Co1 0.000 0.667 0.333
Ru1 0.000 0.000 0.000
Pt1 0.755 0.255 0.255
Pt2 0.253 0.421 0.085
Pt3 0.245 0.745 0.745
Pt4 0.747 0.579 0.915
Co2 0.500 0.500 0.500
Co3 0.500 0.166 0.834
Co4 0.500 0.834 0.166
Co5 0.000 0.333 0.667
Pt5 0.747 0.915 0.579
Pt6 0.253 0.085 0.421

---

Record 2
CoRuPt | PBE | relaxed

Computed properties:
- symmetry = I4mm
- magnetic moment (μB/cell) = 1.144
- energy of formation from the pure elements (kJ/mol of atoms) = 4
- DFT total energy (hartree per atom) = -0.2733
- DOS(E_F) (states/eV/f.u.) = 3.2
- relative energy among the computed polymorphs (meV per atom) = 0.0

a = 5.907 Å, b = 5.907 Å, c = 2.685 Å
α = 76.86°, β = 76.86°, γ = 26.27°
Fractional coordinates of all 3 atoms:
Ru1 0.344 0.344 0.656
Co1 0.993 0.993 0.007
Pt1 0.662 0.662 0.338

---

Record 3
CoRuPt | PBE | relaxed

Computed properties:
- symmetry = I4mm
- magnetic moment (μB/cell) = 1.712
- energy of formation from the pure elements (kJ/mol of atoms) = 21
- DFT total energy (hartree per atom) = -0.2666
- DOS(E_F) (states/eV/f.u.) = 4.3
- relative energy among the computed polymorphs (meV per atom) = 183.4

a = 4.655 Å, b = 4.655 Å, c = 4.655 Å
α = 139.98°, β = 139.98°, γ = 57.89°
Fractional coordinates of all 3 atoms:
Pt1 0.336 0.336 0.000
Co1 0.010 0.010 0.000
Ru1 0.654 0.654 0.000

---

Record 4
ScCoRuPt2 | PBE | relaxed

Computed properties:
- symmetry = P4/mmm
- magnetic moment (μB/cell) = 2.726
- energy of formation from the pure elements (kJ/mol of atoms) = 66
- DFT total energy (hartree per atom) = -0.2307
- DOS(E_F) (states/eV/f.u.) = 7.7

a = 4.839 Å, b = 4.383 Å, c = 4.839 Å
α = 90.00°, β = 90.00°, γ = 90.00°
Fractional coordinates of all 5 atoms:
Sc1 0.500 0.500 0.500
Ru1 0.000 0.000 0.000
Co1 0.000 0.500 0.000
Pt1 0.000 0.000 0.500
Pt2 0.500 0.000 0.000

---

Record 5
Sr2CoRuPt | PBE | relaxed

Computed properties:
- symmetry = P4/mmm
- magnetic moment (μB/cell) = 2.045
- energy of formation from the pure elements (kJ/mol of atoms) = 71
- DFT total energy (hartree per atom) = -0.1624
- DOS(E_F) (states/eV/f.u.) = 4.4

a = 5.705 Å, b = 4.726 Å, c = 5.705 Å
α = 90.00°, β = 90.00°, γ = 90.00°
Fractional coordinates of all 5 atoms:
Sr1 0.000 0.000 0.500
Sr2 0.500 0.000 0.000
Co1 0.500 0.500 0.500
Ru1 0.000 0.000 0.000
Pt1 0.000 0.500 0.000

---

Record 6
CoTc2RuPt | PBE | relaxed

Computed properties:
- symmetry = P4/mmm
- magnetic moment (μB/cell) = 0.028
- energy of formation from the pure elements (kJ/mol of atoms) = 133
- DFT total energy (hartree per atom) = -0.2667
- DOS(E_F) (states/eV/f.u.) = 7.2

a = 4.281 Å, b = 4.525 Å, c = 4.281 Å
α = 90.00°, β = 90.00°, γ = 90.00°
Fractional coordinates of all 5 atoms:
Co1 0.000 0.000 0.000
Tc1 0.000 0.000 0.500
Tc2 0.500 0.000 0.000
Pt1 0.000 0.500 0.000
Ru1 0.500 0.500 0.500

---

Record 7
Th6Co3RuPt2 | PBE | relaxed

Computed properties:
- symmetry = C2/m
- magnetic moment (μB/cell) = 0.000
- energy of formation from the pure elements (kJ/mol of atoms) = -59
- DFT total energy (hartree per atom) = -0.2893
- DOS(E_F) (states/eV/f.u.) = 6.8

a = 4.020 Å, b = 8.167 Å, c = 9.097 Å
α = 104.08°, β = 102.76°, γ = 90.00°
Fractional coordinates of all 12 atoms:
Co1 0.170 0.838 0.340
Ru1 0.500 0.000 0.000
Pt1 0.831 0.658 0.662
Th1 0.334 0.925 0.667
Pt2 0.169 0.342 0.338
Th2 0.340 0.399 0.680
Co2 0.500 0.500 0.000
Th3 0.003 0.751 0.007
Th4 0.666 0.075 0.333
Th5 0.660 0.601 0.320
Th6 0.997 0.249 0.993
Co3 0.830 0.162 0.660

---

Record 8
UCoRuPt | PBE | relaxed

Computed properties:
- symmetry = Pmmm
- magnetic moment (μB/cell) = 0.648
- energy of formation from the pure elements (kJ/mol of atoms) = -47
- DFT total energy (hartree per atom) = -0.3277
- DOS(E_F) (states/eV/f.u.) = 2.3

a = 3.822 Å, b = 3.979 Å, c = 4.150 Å
α = 90.00°, β = 90.00°, γ = 90.00°
Fractional coordinates of all 4 atoms:
Co1 0.500 0.500 0.000
Ru1 0.500 0.000 0.500
Pt1 0.000 0.000 0.000
U1 0.000 0.500 0.500